Record 1
The following is a DFT calculation (GGA-PBE) of a relaxed structure of LiFeB.

a b c (Å): 3.9361 3.9361 4.6444
angles (deg): 105.23 105.23 77.38
Sites, in units of the cell vectors:
Li 0.1380 0.6410 0.1995
Fe 0.7122 0.7122 0.6781
B 0.8484 0.1949 0.7145
Li 0.6410 0.1380 0.1995
Fe 0.3140 0.3140 0.6836
B 0.1949 0.8484 0.7145

## Properties
- V: 66.1 Å³ per cell
- Total energy: -5.757 eV/atom

Record 2
The following is a DFT calculation (GGA-PBE) of a relaxed structure of LiFeB4.

a b c (Å): 5.7270 11.1104 3.0925
angles (deg): 90.00 90.00 90.00
Sites, in units of the cell vectors:
B 0.6300 0.9662 0.5000
B 0.6194 0.5505 0.5000
B 0.3806 0.4495 0.5000
Fe 0.8751 0.9187 0.0000
B 0.8700 0.4662 0.5000
B 0.0196 0.8037 0.5000
B 0.1300 0.5338 0.5000
B 0.9804 0.1963 0.5000
B 0.4804 0.3037 0.5000
Fe 0.6249 0.4187 0.0000
B 0.5196 0.6963 0.5000
Li 0.1217 0.3467 0.0000
Li 0.6217 0.1533 0.0000
B 0.8806 0.0505 0.5000
B 0.2101 0.6866 0.5000
Li 0.8783 0.6533 0.0000
B 0.2898 0.1866 0.5000
B 0.7899 0.3134 0.5000
B 0.7101 0.8134 0.5000
B 0.3700 0.0338 0.5000
Li 0.3783 0.8467 0.0000
Fe 0.3751 0.5813 0.0000
B 0.1194 0.9495 0.5000
Fe 0.1249 0.0813 0.0000

## Properties
- ΔE to the lowest computed polymorph: 0.000 eV/atom
- V: 196.8 Å³ per cell
- Total energy: -6.319 eV/atom

Record 3
The following is a DFT calculation (GGA-PBE) of a relaxed structure of LiMgFeB.

a b c (Å): 3.9144 3.9144 3.9144
angles (deg): 60.00 60.00 60.00
Sites, in units of the cell vectors:
Mg 0.5000 0.5000 0.5000
Fe 0.7500 0.7500 0.7500
B 0.0000 0.0000 0.0000
Li 0.2500 0.2500 0.2500

## Properties
- ΔE to the lowest computed polymorph: 0.074 eV/atom
- V: 42.4 Å³ per cell
- Total energy: -4.136 eV/atom

Record 4
The following is a DFT calculation (GGA-PBE) of a relaxed structure of LiMgFeB.

a b c (Å): 3.9031 3.9031 3.9031
angles (deg): 60.00 60.00 60.00
Sites, in units of the cell vectors:
B 0.2500 0.2500 0.2500
Li 0.7500 0.7500 0.7500
Mg 0.5000 0.5000 0.5000
Fe 0.0000 0.0000 0.0000

## Properties
- ΔE to the lowest computed polymorph: 0.000 eV/atom
- V: 42.0 Å³ per cell
- Total energy: -4.210 eV/atom

Record 5
The following is a DFT calculation (GGA-PBE) of a relaxed structure of LiFeBMo.

a b c (Å): 3.8737 3.8737 3.8737
angles (deg): 60.00 60.00 60.00
Sites, in units of the cell vectors:
Mo 0.0000 0.0000 0.0000
Li 0.7500 0.7500 0.7500
B 0.5000 0.5000 0.5000
Fe 0.2500 0.2500 0.2500

## Properties
- ΔE to the lowest computed polymorph: 0.000 eV/atom
- V: 41.1 Å³ per cell
- Total energy: -6.780 eV/atom

Record 6
The following is a DFT calculation (GGA-PBE) of a relaxed structure of LiFeBMo.

a b c (Å): 3.9045 3.9045 3.9045
angles (deg): 60.00 60.00 60.00
Sites, in units of the cell vectors:
Fe 0.5000 0.5000 0.5000
B 0.2500 0.2500 0.2500
Mo 0.0000 0.0000 0.0000
Li 0.7500 0.7500 0.7500

## Properties
- ΔE to the lowest computed polymorph: 0.213 eV/atom
- V: 42.1 Å³ per cell
- Total energy: -6.568 eV/atom

Record 7
The following is a DFT calculation (GGA-PBE) of a relaxed structure of LiNbFeB.

a b c (Å): 3.9611 3.9611 3.9611
angles (deg): 60.00 60.00 60.00
Sites, in units of the cell vectors:
B 0.0000 0.0000 0.0000
Fe 0.7500 0.7500 0.7500
Li 0.2500 0.2500 0.2500
Nb 0.5000 0.5000 0.5000

## Properties
- ΔE to the lowest computed polymorph: 0.000 eV/atom
- V: 43.9 Å³ per cell
- Total energy: -6.554 eV/atom

Record 8
The following is a DFT calculation (GGA-PBE) of a relaxed structure of LiNbFeB.

a b c (Å): 3.9324 3.9324 3.9324
angles (deg): 60.00 60.00 60.00
Sites, in units of the cell vectors:
Fe 0.7500 0.7500 0.7500
Nb 0.2500 0.2500 0.2500
Li 0.5000 0.5000 0.5000
B 0.0000 0.0000 0.0000

## Properties
- ΔE to the lowest computed polymorph: 0.047 eV/atom
- V: 43.0 Å³ per cell
- Total energy: -6.507 eV/atom